DFT (GGA-PBE) results for a geometry-optimized DyInNiAg structure.

Summary:
Energy relative to the elements   -0.302 eV/atom
Space group   F-43m, No. 216
ρ   9.5 Mg/m³
Crystal system   cubic

abc: 4.795 4.795 4.795
angles: 60.00 60.00 60.00
Fractional coordinates of all 4 atoms:
Dy 0.000 0.000 0.000
In 0.500 0.500 0.500
Ni 0.250 0.250 0.250
Ag 0.750 0.750 0.750



DFT (GGA-PBE) results for a geometry-optimized DyIn4AgO8 structure.

Summary:
Space group   R3m, No. 160
ρ   6.9 Mg/m³
Crystal system   trigonal
E_form (uncorrected)   -1.6566 eV per atom

abc: 6.687 6.687 6.687
angles: 59.15 59.15 59.15
Fractional coordinates of all 14 atoms:
Dy 0.000 0.000 0.000
In 0.490 0.998 0.998
In 0.618 0.618 0.618
In 0.998 0.490 0.998
In 0.998 0.998 0.490
Ag 0.365 0.365 0.365
O 0.221 0.751 0.751
O 0.229 0.229 0.229
O 0.236 0.236 0.791
O 0.236 0.791 0.236
O 0.751 0.221 0.751
O 0.751 0.751 0.221
O 0.754 0.754 0.754
O 0.791 0.236 0.236



DFT (GGA-PBE) results for a geometry-optimized Dy4InAg2Os structure.

Summary:
Energy relative to the elements   -0.375 eV/atom
Space group   R-3m, No. 166
ρ   10.4 Mg/m³
Crystal system   trigonal

abc: 8.822 8.822 8.822
angles: 33.62 33.62 33.62
Fractional coordinates of all 8 atoms:
Dy 0.114 0.114 0.114
Dy 0.367 0.367 0.367
Dy 0.633 0.633 0.633
Dy 0.886 0.886 0.886
In 0.500 0.500 0.500
Ag 0.241 0.241 0.241
Ag 0.759 0.759 0.759
Os 0.000 0.000 0.000



DFT (GGA-PBE) results for a geometry-optimized DyPaInAg structure.

Summary:
Energy relative to the elements   0.034 eV/atom
Space group   F-43m, No. 216
ρ   10.0 Mg/m³
Crystal system   cubic

abc: 5.259 5.259 5.259
angles: 60.00 60.00 60.00
Fractional coordinates of all 4 atoms:
Dy 0.000 0.000 0.000
Pa 0.500 0.500 0.500
In 0.750 0.750 0.750
Ag 0.250 0.250 0.250



DFT (GGA-PBE) results for a geometry-optimized DyInAgPb structure.

Summary:
Energy relative to the elements   -0.312 eV/atom
Space group   Pmmm, No. 47
ρ   10.1 Mg/m³
Crystal system   orthorhombic

abc: 4.496 4.521 4.812
angles: 90.00 90.00 90.00
Fractional coordinates of all 4 atoms:
Dy 0.000 0.000 0.000
In 0.500 0.000 0.500
Ag 0.000 0.500 0.500
Pb 0.500 0.500 0.000



DFT (GGA-PBE) results for a geometry-optimized DyInAgPb structure.

Summary:
Energy relative to the elements   -0.131 eV/atom
Space group   F-43m, No. 216
ρ   9.7 Mg/m³
Crystal system   cubic

abc: 5.227 5.227 5.227
angles: 60.00 60.00 60.00
Fractional coordinates of all 4 atoms:
Dy 0.000 0.000 0.000
In 0.500 0.500 0.500
Ag 0.750 0.750 0.750
Pb 0.250 0.250 0.250



DFT (GGA-PBE) results for a geometry-optimized DyInAgPd structure.

Summary:
Energy relative to the elements   -0.563 eV/atom
Space group   F-43m, No. 216
ρ   9.9 Mg/m³
Crystal system   cubic

abc: 4.878 4.878 4.878
angles: 60.00 60.00 60.00
Fractional coordinates of all 4 atoms:
Dy 0.000 0.000 0.000
In 0.500 0.500 0.500
Ag 0.250 0.250 0.250
Pd 0.750 0.750 0.750



DFT (GGA-PBE) results for a geometry-optimized Dy4InAg2Pd structure.

Summary:
Energy relative to the elements   -0.506 eV/atom
Space group   R-3m, No. 166
ρ   9.4 Mg/m³
Crystal system   trigonal

abc: 8.883 8.883 8.883
angles: 33.69 33.69 33.69
Fractional coordinates of all 8 atoms:
Dy 0.118 0.118 0.118
Dy 0.370 0.370 0.370
Dy 0.630 0.630 0.630
Dy 0.882 0.882 0.882
In 0.500 0.500 0.500
Ag 0.243 0.243 0.243
Ag 0.757 0.757 0.757
Pd 0.000 0.000 0.000



DFT (GGA-PBE) results for a geometry-optimized PmDyInAg structure.

Summary:
Energy relative to the elements   -0.396 eV/atom
Space group   P4mm, No. 99
ρ   8.4 Mg/m³
Crystal system   tetragonal

abc: 3.663 3.663 7.843
angles: 90.00 90.00 90.00
Fractional coordinates of all 4 atoms:
Pm 0.000 0.000 0.000
Dy 0.000 0.000 0.526
In 0.500 0.500 0.269
Ag 0.500 0.500 0.742



DFT (GGA-PBE) results for a geometry-optimized PmDyInAg structure.

Summary:
Energy relative to the elements   -0.382 eV/atom
Space group   F-43m, No. 216
ρ   8.3 Mg/m³
Crystal system   cubic

abc: 5.321 5.321 5.321
angles: 60.00 60.00 60.00
Fractional coordinates of all 4 atoms:
Pm 0.000 0.000 0.000
Dy 0.500 0.500 0.500
In 0.750 0.750 0.750
Ag 0.250 0.250 0.250



DFT (GGA-PBE) results for a geometry-optimized PrDyInAg structure.

Summary:
Energy relative to the elements   -0.391 eV/atom
Space group   P4mm, No. 99
ρ   8.1 Mg/m³
Crystal system   tetragonal

abc: 3.685 3.685 7.912
angles: 90.00 90.00 90.00
Fractional coordinates of all 4 atoms:
Pr 0.000 0.000 0.000
Dy 0.000 0.000 0.524
In 0.500 0.500 0.272
Ag 0.500 0.500 0.733



DFT (GGA-PBE) results for a geometry-optimized PrDyInAg structure.

Summary:
Energy relative to the elements   -0.370 eV/atom
Space group   F-43m, No. 216
ρ   8.0 Mg/m³
Crystal system   cubic

abc: 5.360 5.360 5.360
angles: 60.00 60.00 60.00
Fractional coordinates of all 4 atoms:
Pr 0.000 0.000 0.000
Dy 0.500 0.500 0.500
In 0.750 0.750 0.750
Ag 0.250 0.250 0.250